(1)
## Bi2PdAu (PBE)

Data for Bi2PdAu after structural relaxation.

The structure in POSCAR format:
```
Bi2PdAu
1.0
-5.0784 4.3696 -3.9821
-4.9631 -6.0035 -0.2582
-6.3652 0.1740 0.6819
Bi Au Pd
4 2 2
Direct
0.8750 0.8604 0.7500
0.6104 0.1250 0.2500
0.3750 0.3896 0.7500
0.1396 0.6250 0.2500
0.0000 0.0000 0.0000
0.7500 0.2500 0.5000
0.2500 0.7500 0.5000
0.5000 0.5000 0.0000
```

DFT formation energy: 0.2 eV/f.u.
V: 99 Å³/f.u.
symmetry: I-42d (122)

---

(2)
## Bi4PdAu2 (PBE)

Data for Bi4PdAu2 after structural relaxation.

The structure in POSCAR format:
```
Bi4PdAu2
1.0
-1.9698 -2.5414 -3.4637
2.2987 -3.7129 -1.8073
-4.0215 -7.8423 4.8168
Bi Au Pd
4 2 1
Direct
0.7024 0.7024 0.8928
0.2976 0.2976 0.1072
0.8743 0.8743 0.3771
0.1257 0.1257 0.6229
0.4039 0.4039 0.7882
0.5961 0.5961 0.2118
0.5000 0.5000 0.5000
```

DFT formation energy: -0.8 eV/f.u.
relative energy among the computed polymorphs: 0.016 eV per atom
V: 187 Å³/f.u.
symmetry: R-3m (166)

---

(3)
## BiPdAu2 (PBE)

Data for BiPdAu2 after structural relaxation.

The structure in POSCAR format:
```
BiPdAu2
1.0
-2.8290 -3.5816 0.8401
1.5569 -3.6842 2.3537
-1.7667 -0.4168 5.0914
Au Bi Pd
2 1 1
Direct
0.2716 0.2716 0.1851
0.0612 0.0612 0.8165
0.4841 0.4841 0.5477
0.6831 0.6831 0.9507
```

DFT formation energy: -0.1 eV/f.u.
V: 88 Å³/f.u.
symmetry: R3m (160)